A plane-wave DFT calculation with PBE-GGA was carried out for Cu3Pd5I12 after structural relaxation.

Structure (POSCAR):
```
Cu3Pd5I12
1.0
-8.755 8.755 8.755
8.755 -8.755 8.755
8.755 8.755 -8.755
Cu Pd I
12 20 48
Direct
0.125 0.250 0.375
0.125 0.375 0.750
0.250 0.375 0.125
0.250 0.875 0.625
0.375 0.125 0.250
0.375 0.750 0.125
0.625 0.250 0.875
0.625 0.875 0.750
0.750 0.125 0.375
0.750 0.625 0.875
0.875 0.625 0.250
0.875 0.750 0.625
0.000 0.000 0.000
0.000 0.000 0.500
0.000 0.500 0.000
0.000 0.500 0.500
0.125 0.750 0.875
0.125 0.875 0.250
0.250 0.125 0.875
0.250 0.625 0.375
0.375 0.250 0.625
0.375 0.625 0.750
0.500 0.000 0.000
0.500 0.000 0.500
0.500 0.500 0.000
0.500 0.500 0.500
0.625 0.375 0.250
0.625 0.750 0.375
0.750 0.375 0.625
0.750 0.875 0.125
0.875 0.125 0.750
0.875 0.250 0.125
0.004 0.662 0.655
0.004 0.842 0.349
0.007 0.162 0.158
0.007 0.345 0.849
0.151 0.658 0.496
0.151 0.993 0.655
0.155 0.162 0.504
0.155 0.493 0.651
0.158 0.007 0.162
0.158 0.651 0.996
0.162 0.158 0.007
0.162 0.504 0.155
0.338 0.345 0.996
0.338 0.493 0.342
0.342 0.338 0.493
0.342 0.504 0.849
0.345 0.849 0.007
0.345 0.996 0.338
0.349 0.004 0.842
0.349 0.845 0.507
0.493 0.342 0.338
0.493 0.651 0.155
0.496 0.151 0.658
0.496 0.845 0.838
0.504 0.155 0.162
0.504 0.849 0.342
0.507 0.349 0.845
0.507 0.658 0.662
0.651 0.155 0.493
0.651 0.996 0.158
0.655 0.004 0.662
0.655 0.151 0.993
0.658 0.496 0.151
0.658 0.662 0.507
0.662 0.507 0.658
0.662 0.655 0.004
0.838 0.496 0.845
0.838 0.842 0.993
0.842 0.349 0.004
0.842 0.993 0.838
0.845 0.507 0.349
0.845 0.838 0.496
0.849 0.007 0.345
0.849 0.342 0.504
0.993 0.655 0.151
0.993 0.838 0.842
0.996 0.158 0.651
0.996 0.338 0.345
```

Output
* E_form (uncorrected): 0.27 kcal/mol of atoms
* total magnetic moment: 0.001 μB/f.u.
* symmetry: Ia-3d (230)